1.
First-principles (PBE+U) data for a relaxed CdCoAg2F8 crystal, as listed in the Alexandria database.

Calculated values
The size of the total moment is 5.051 μB/f.u. The density of states at the Fermi level is 8.35 states/eV/f.u. For the total energy, the calculation gives -44.39 eV for the cell shown.

```
CdCoAg2F8
1.0
-3.407 3.407 3.883
3.407 -3.407 3.883
3.407 3.407 -3.883
Cd Co Ag F
1 1 2 8
Cartesian
0.000 0.000 0.000
0.000 3.407 1.941
3.407 0.000 1.941
0.000 0.000 3.883
2.192 0.000 0.111
4.622 0.000 0.111
3.407 1.932 -1.637
3.407 -1.215 3.772
0.000 1.475 2.246
3.407 1.215 3.772
1.932 3.407 1.637
1.475 0.000 5.520
```

2.
First-principles (PBE+U) data for a relaxed CdCoAgF2 crystal, as listed in the Alexandria database.

Calculated values
The size of the total moment is 2.794 μB/f.u. The density of states at the Fermi level is 0.99 states/eV/f.u. For the total energy, the calculation gives -17.45 eV for the cell shown.

```
CdCoAgF2
1.0
3.935 0.000 0.000
0.000 3.935 0.000
0.000 0.000 5.907
Cd Co Ag F
1 1 1 2
Cartesian
0.000 0.000 0.000
1.967 1.967 2.953
1.967 1.967 0.000
0.000 1.967 2.953
1.967 0.000 2.953
```

What did the second record say?
First-principles (PBE+U) data for a relaxed CdCoAgF2 crystal, as listed in the Alexandria database.

Calculated values
The size of the total moment is 2.794 μB/f.u. The density of states at the Fermi level is 0.99 states/eV/f.u. For the total energy, the calculation gives -17.45 eV for the cell shown.

```
CdCoAgF2
1.0
3.935 0.000 0.000
0.000 3.935 0.000
0.000 0.000 5.907
Cd Co Ag F
1 1 1 2
Cartesian
0.000 0.000 0.000
1.967 1.967 2.953
1.967 1.967 0.000
0.000 1.967 2.953
1.967 0.000 2.953
```